{"formula": "Cr2InRu2", "functional": "PBE", "state": "relaxed", "lattice": [[7.2584, 0.0000, 0.0000], [0.0000, 7.2584, 0.0000], [0.0000, 0.0000, 2.7976]], "species": ["Cr", "Cr", "Cr", "Cr", "In", "In", "Ru", "Ru", "Ru", "Ru"], "fractional_positions": [[0.1104, 0.3896, 0.0000], [0.3896, 0.8896, 0.0000], [0.6104, 0.1104, 0.0000], [0.8896, 0.6104, 0.0000], [0.0000, 0.0000, 0.0000], [0.5000, 0.5000, 0.0000], [0.1728, 0.6728, 0.5000], [0.3272, 0.1728, 0.5000], [0.6728, 0.8272, 0.5000], [0.8272, 0.3272, 0.5000]], "dos_at_fermi_per_ev_atom": 1.245, "formation_enthalpy_0k_ev_per_atom": 0.234, "magmom_total_mub_per_cell": 0.00, "space_group": "P4/mbm (127)"}